[1]
Density functional theory data (PBE) for a geometry-optimized SrLiBr3 structure.

## Properties
Relative energy among the computed polymorphs (eV per formula unit): 0.926
Space-group type: Pm-3m
Density (g/cm³): 4.106

Structure (extended XYZ):
```
5
Lattice="5.132 0.000 0.000 0.000 5.132 0.000 0.000 0.000 5.132" Properties=species:S:1:pos:R:3 pbc="T T T"
Sr 0.000 0.000 0.000
Li 2.566 2.566 2.566
Br 0.000 2.566 2.566
Br 2.566 0.000 2.566
Br 2.566 2.566 0.000
```


[2]
Density functional theory data (PBE) for a geometry-optimized Sr4Cd3Ge structure.

## Properties
Calculated formation energy (eV/atom): -0.378
Space-group type: R-3m
Density (g/cm³): 4.937

Structure (extended XYZ):
```
8
Lattice="2.819 1.628 9.290 -2.819 1.628 9.290 0.000 -3.255 9.290" Properties=species:S:1:pos:R:3 pbc="T T T"
Sr 0.000 0.000 3.340
Sr 0.000 0.000 10.319
Sr 0.000 0.000 17.552
Sr 0.000 0.000 24.532
Cd 0.000 0.000 6.825
Cd 0.000 0.000 13.936
Cd 0.000 0.000 21.046
Ge 0.000 0.000 0.000
```


[3]
Density functional theory data (PBE) for a geometry-optimized Ba2Zn6CuAg structure.

## Properties
Calculated formation energy (eV/atom): -0.074
Space-group type: C2/m
Density (g/cm³): 5.753

Structure (extended XYZ):
```
10
Lattice="4.932 -4.958 0.000 4.932 4.958 0.000 -4.925 0.000 4.949" Properties=species:S:1:pos:R:3 pbc="T T T"
Ba 4.932 2.479 0.000
Ba 4.932 -2.479 0.000
Zn -0.080 0.000 2.474
Zn -2.459 0.000 4.864
Zn 2.470 2.565 2.474
Zn 2.470 -2.565 2.474
Zn 7.398 0.000 0.085
Zn 5.020 0.000 2.474
Cu -2.462 0.000 2.474
Ag 2.470 0.000 2.474
```


[4]
Density functional theory data (PBE) for a geometry-optimized KIn2Te2 structure.

## Properties
Relative energy among the computed polymorphs (eV per formula unit): 0.468
Space-group type: C2/m
Density (g/cm³): 4.714

Structure (extended XYZ):
```
10
Lattice="3.772 -7.860 0.000 3.772 7.860 0.000 -3.357 0.000 6.225" Properties=species:S:1:pos:R:3 pbc="T T T"
K 3.772 4.639 0.000
K 3.772 -4.639 0.000
In -0.309 0.000 4.287
In 2.094 2.045 3.112
In 2.094 -2.045 3.112
In 4.496 0.000 1.938
Te 2.094 5.345 3.112
Te 1.420 0.000 0.652
Te 2.767 0.000 5.572
Te 2.094 -5.345 3.112
```


[5]
Density functional theory data (PBE) for a geometry-optimized BeZnAu structure.

## Properties
Calculated formation energy (eV/atom): -0.048
Relative energy among the computed polymorphs (eV per formula unit): 0.174
Space-group type: I4/mmm
Density (g/cm³): 10.144

Structure (extended XYZ):
```
6
Lattice="-1.499 1.499 9.888 1.499 -1.499 9.888 1.499 1.499 -9.888" Properties=species:S:1:pos:R:3 pbc="T T T"
Be 0.000 0.000 4.322
Be 0.000 0.000 15.454
Zn 0.000 0.000 1.224
Zn 0.000 0.000 18.552
Au 0.000 0.000 6.777
Au 0.000 0.000 13.000
```


[6]
Density functional theory data (PBE) for a geometry-optimized Pm4SmCd2 structure.

## Properties
Calculated formation energy (eV/atom): 0.203
Space-group type: R-3m
Density (g/cm³): 6.481

Structure (extended XYZ):
```
7
Lattice="2.605 1.504 10.413 -2.605 1.504 10.413 0.000 -3.008 10.413" Properties=species:S:1:pos:R:3 pbc="T T T"
Pm 0.000 0.000 3.440
Pm 0.000 0.000 9.262
Pm 0.000 0.000 21.978
Pm 0.000 0.000 27.800
Sm 0.000 0.000 15.620
Cd 0.000 0.000 12.502
Cd 0.000 0.000 18.738
```


[7]
Density functional theory data (PBE) for a geometry-optimized BaY3Cd structure.

## Properties
Calculated formation energy (eV/atom): 1.049
Relative energy among the computed polymorphs (eV per formula unit): 4.036
Space-group type: Pm-3m
Density (g/cm³): 4.553

Structure (extended XYZ):
```
5
Lattice="5.732 0.000 0.000 0.000 5.732 0.000 0.000 0.000 5.732" Properties=species:S:1:pos:R:3 pbc="T T T"
Ba 0.000 0.000 0.000
Y 0.000 0.000 2.866
Y 0.000 2.866 0.000
Y 2.866 0.000 0.000
Cd 2.866 2.866 2.866
```


[8]
Density functional theory data (PBE) for a geometry-optimized Er4NiAu3 structure.

## Properties
Calculated formation energy (eV/atom): -0.784
Space-group type: Pmm2
Density (g/cm³): 12.124

Structure (extended XYZ):
```
8
Lattice="3.700 0.000 0.000 0.000 4.601 0.000 0.000 0.000 10.610" Properties=species:S:1:pos:R:3 pbc="T T T"
Er 0.000 0.000 0.000
Er 0.000 2.300 2.793
Er 1.850 0.000 5.030
Er 1.850 2.300 8.162
Ni 1.850 0.000 2.214
Au 0.000 0.000 7.610
Au 0.000 2.300 5.709
Au 1.850 2.300 0.507
```


[9]
Density functional theory data (PBE) for a geometry-optimized Nb2CdSbCl structure.

## Properties
Raw total energy (Ry per atom): -0.276
Space-group type: P4/mmm
Density (g/cm³): 5.316

Structure (extended XYZ):
```
5
Lattice="5.253 0.000 0.000 0.000 5.253 0.000 0.000 0.000 5.154" Properties=species:S:1:pos:R:3 pbc="T T T"
Nb 0.000 2.627 0.000
Nb 2.627 0.000 0.000
Cd 0.000 0.000 0.000
Sb 0.000 0.000 2.577
Cl 2.627 2.627 2.577
```


[10]
Density functional theory data (PBE) for a geometry-optimized Be2CdPdPb structure.

## Properties
Calculated formation energy (eV/atom): 0.749
Space-group type: P4/mmm
Density (g/cm³): 7.146

Structure (extended XYZ):
```
5
Lattice="4.460 0.000 0.000 0.000 4.460 0.000 0.000 0.000 5.187" Properties=species:S:1:pos:R:3 pbc="T T T"
Be 0.000 2.230 0.000
Be 2.230 0.000 0.000
Cd 0.000 0.000 0.000
Pd 0.000 0.000 2.593
Pb 2.230 2.230 2.593
```


[11]
Density functional theory data (PBE) for a geometry-optimized Ca8Hg2Au3 structure.

## Properties
Calculated formation energy (eV/atom): -0.514
Space-group type: P2/m
Density (g/cm³): 5.422

Structure (extended XYZ):
```
13
Lattice="9.036 0.000 0.000 0.000 5.200 0.000 -2.971 0.000 8.557" Properties=species:S:1:pos:R:3 pbc="T T T"
Ca -0.056 0.000 3.257
Ca -1.436 2.600 7.415
Ca 1.454 2.600 5.352
Ca 3.070 0.000 1.029
Ca 2.995 0.000 7.528
Ca 4.611 2.600 3.205
Ca 7.501 2.600 1.142
Ca 6.121 0.000 5.300
Hg 1.580 2.600 2.089
Hg 4.485 2.600 6.468
Au -1.485 2.600 4.278
Au 0.078 0.000 6.483
Au 5.987 0.000 2.074
```


[12]
Density functional theory data (PBE) for a geometry-optimized Cs2ReF6 structure.

## Properties
Raw total energy (Ry per atom): -0.392
Space-group type: P-3m1
Density (g/cm³): 5.191

Structure (extended XYZ):
```
9
Lattice="6.399 0.000 0.000 -3.199 5.542 0.000 0.000 0.000 5.106" Properties=species:S:1:pos:R:3 pbc="T T T"
Cs 0.000 3.694 1.037
Cs 3.199 1.847 4.069
Re 0.000 0.000 2.553
F 0.000 1.670 3.640
F -1.753 4.707 3.640
F 1.446 0.835 1.466
F 1.753 4.707 3.640
F 4.953 0.835 1.466
F 3.199 3.872 1.466
```


[13]
Density functional theory data (PBE) for a geometry-optimized Fe2CoHRh structure.

## Properties
Relative energy among the computed polymorphs (eV per formula unit): 0.524
Space-group type: P4/mmm
Density (g/cm³): 9.659

Structure (extended XYZ):
```
5
Lattice="3.614 0.000 0.000 0.000 3.614 0.000 0.000 0.000 3.615" Properties=species:S:1:pos:R:3 pbc="T T T"
Fe 0.000 1.807 0.000
Fe 1.807 0.000 0.000
Co 0.000 0.000 1.807
H 0.000 0.000 0.000
Rh 1.807 1.807 1.807
```


[14]
Density functional theory data (PBE) for a geometry-optimized SiAg2Sn structure.

## Properties
Raw total energy (Ry per atom): -0.254
Space-group type: Fm-3m
Density (g/cm³): 7.508

Structure (extended XYZ):
```
4
Lattice="0.000 3.423 3.423 3.423 0.000 3.423 3.423 3.423 0.000" Properties=species:S:1:pos:R:3 pbc="T T T"
Si 0.000 0.000 0.000
Ag 1.711 1.711 1.711
Ag 5.134 5.134 5.134
Sn 3.423 3.423 3.423
```


[15]
Density functional theory data (PBE) for a geometry-optimized CePaNi2P2 structure.

## Properties
Calculated formation energy (eV/atom): -1.137
Space-group type: P-3m1
Density (g/cm³): 8.777

Structure (extended XYZ):
```
6
Lattice="3.903 0.000 0.000 -1.951 3.380 0.000 0.000 0.000 7.895" Properties=species:S:1:pos:R:3 pbc="T T T"
Ce 0.000 0.000 0.000
Pa 0.000 0.000 3.947
Ni 0.000 2.253 5.738
Ni 1.951 1.127 2.157
P 0.000 2.253 1.970
P 1.951 1.127 5.925
```


[16]
Density functional theory data (PBE) for a geometry-optimized Na3Cd2Pt structure.

## Properties
Calculated formation energy (eV/atom): -0.139
Relative energy among the computed polymorphs (eV per formula unit): 0.113
Space-group type: Ibam
Density (g/cm³): 5.370

Structure (extended XYZ):
```
12
Lattice="-2.978 8.753 2.900 2.978 -8.753 2.900 2.978 8.753 -2.900" Properties=species:S:1:pos:R:3 pbc="T T T"
Na 1.004 3.316 0.000
Na 0.000 0.000 1.450
Na 3.982 5.437 0.000
Na -1.004 3.316 2.900
Na 0.000 0.000 4.349
Na 1.973 5.437 2.900
Cd 3.890 2.147 0.000
Cd 0.912 6.606 0.000
Cd 2.065 2.147 2.900
Cd -0.912 6.606 2.900
Pt 2.978 0.000 1.450
Pt 0.000 8.753 1.450
```


[17]
Density functional theory data (PBE) for a geometry-optimized Nb2AgN2 structure.

## Properties
Relative energy among the computed polymorphs (eV per formula unit): 1.327
Space-group type: P4/mbm
Density (g/cm³): 8.731

Structure (extended XYZ):
```
10
Lattice="6.543 0.000 0.000 0.000 6.543 0.000 0.000 0.000 2.859" Properties=species:S:1:pos:R:3 pbc="T T T"
Nb 0.945 2.326 0.000
Nb 2.326 5.598 0.000
Nb 4.217 0.945 0.000
Nb 5.598 4.217 0.000
Ag 0.000 0.000 1.429
Ag 3.271 3.271 1.429
N 0.878 4.149 1.429
N 2.394 0.878 1.429
N 4.149 5.665 1.429
N 5.665 2.394 1.429
```


[18]
Density functional theory data (PBE) for a geometry-optimized NaSbI6 structure.

## Properties
Raw total energy (Ry per atom): -0.162
Space-group type: P-1
Density (g/cm³): 3.642

Structure (extended XYZ):
```
8
Lattice="7.037 0.000 0.000 1.034 7.660 0.000 1.068 2.079 7.664" Properties=species:S:1:pos:R:3 pbc="T T T"
Na 0.000 0.000 0.000
Sb 0.534 1.039 3.832
I 0.685 2.724 1.406
I 3.135 6.537 2.378
I 2.938 2.281 4.840
I 6.200 7.458 2.824
I 6.004 3.202 5.286
I 8.454 7.015 6.258
```


[19]
Density functional theory data (PBE) for a geometry-optimized Pa2TiVN6 structure.

## Properties
Raw total energy (Ry per atom): -0.725
Space-group type: P4mm
Density (g/cm³): 8.121

Structure (extended XYZ):
```
10
Lattice="5.295 0.000 0.000 0.000 5.295 0.000 0.000 0.000 4.704" Properties=species:S:1:pos:R:3 pbc="T T T"
Pa 0.000 2.647 0.000
Pa 2.647 0.000 0.000
Ti 0.000 0.000 2.784
V 2.647 2.647 2.792
N 0.000 0.000 0.939
N 1.341 1.341 3.492
N 1.341 3.954 3.492
N 2.647 2.647 1.055
N 3.954 1.341 3.492
N 3.954 3.954 3.492
```


[20]
Density functional theory data (PBE) for a geometry-optimized Th4Al12Re structure.

## Properties
Calculated formation energy (eV/atom): -0.374
Space-group type: Im-3m
Density (g/cm³): 6.821

Structure (extended XYZ):
```
17
Lattice="-4.440 4.440 4.440 4.440 -4.440 4.440 4.440 4.440 -4.440" Properties=species:S:1:pos:R:3 pbc="T T T"
Th 2.220 2.220 -2.220
Th 2.220 -2.220 2.220
Th -2.220 2.220 2.220
Th 2.220 2.220 2.220
Al 2.577 0.000 0.000
Al 6.303 0.000 0.000
Al 4.440 2.220 0.000
Al 4.440 0.000 2.220
Al 0.000 2.577 0.000
Al 0.000 0.000 2.577
Al 2.220 4.440 0.000
Al 2.220 0.000 4.440
Al 0.000 6.303 0.000
Al 0.000 0.000 6.303
Al 0.000 4.440 2.220
Al 0.000 2.220 4.440
Re 0.000 0.000 0.000
```


| no. | magnetization (μB/cell) |
| --- | --- |
| 1 | 0.00 |
| 2 | 0.00 |
| 3 | 0.00 |
| 4 | 0.00 |
| 5 | 0.00 |
| 6 | 0.00 |
| 7 | 0.00 |
| 8 | 0.00 |
| 9 | 4.79 |
| 10 | 0.00 |
| 11 | 0.00 |
| 12 | 3.00 |
| 13 | 0.00 |
| 14 | 0.00 |
| 15 | 0.38 |
| 16 | 0.00 |
| 17 | 0.00 |
| 18 | 0.00 |
| 19 | 0.89 |
| 20 | 0.00 |